(1)
YInSeO2 | GGA-PBE | relaxed

POSCAR file:
```
YInSeO2
1.0
-3.405 -1.407 -1.855
2.820 1.164 -6.058
1.212 -6.834 2.959
Y O Se In
2 4 2 2
Cartesian
2.193 -5.995 -1.772
-1.567 -1.082 -3.183
0.691 -0.662 -3.059
1.176 -3.971 -1.440
-0.065 -6.416 -1.895
-0.550 -3.106 -3.514
0.482 -1.452 -6.664
0.144 -5.625 1.709
1.575 -2.644 -3.180
-0.949 -4.434 -1.775
```

Results
Formation energy from raw total energies in kJ/mol of formula units: -1014
Excess energy over the best structure of this formula in the dataset in meV/atom: 0
Symmetry: P2_1/m, No. 11
ρ in g/cm³: 5.510

=====

(2)
YInSeO2 | GGA-PBE | relaxed

POSCAR file:
```
YInSeO2
1.0
-3.270 1.445 -2.401
1.611 -3.132 -4.078
-2.489 -3.192 1.469
O Se Y In
2 1 1 1
Cartesian
-1.635 0.722 -1.201
-1.244 -1.596 0.734
0.000 0.000 0.000
0.806 -1.566 -2.039
-2.074 -2.440 -2.505
```

Results
Formation energy from raw total energies in kJ/mol of formula units: -86
Excess energy over the best structure of this formula in the dataset in meV/atom: 1923
Symmetry: P4/mmm, No. 123
ρ in g/cm³: 5.230

=====

(3)
ZnInSeO5 | GGA-PBE | relaxed

POSCAR file:
```
ZnInSeO5
1.0
5.787 0.759 -0.115
-0.963 5.757 -0.115
-2.147 -2.899 6.963
O In Se Zn
10 2 2 2
Cartesian
2.975 0.697 3.131
1.241 1.645 1.030
-1.275 1.600 6.613
1.437 1.972 5.703
3.953 2.017 0.119
0.137 0.217 4.511
2.540 3.400 2.221
-0.298 2.920 3.601
3.643 -1.019 5.107
-0.965 4.636 1.625
0.000 0.000 0.000
-1.073 -1.450 3.482
-0.203 1.828 5.107
2.881 1.789 1.625
2.115 0.112 5.107
0.563 3.505 1.625
```

Results
Formation energy from raw total energies in kJ/mol of formula units: -749
Symmetry: C2/c, No. 15
ρ in g/cm³: 4.822

=====

(4)
ZnIn2Se4O12 | GGA-PBE | relaxed

POSCAR file:
```
ZnIn2Se4O12
1.0
-3.629 1.759 2.825
4.802 -1.763 7.266
9.093 12.188 4.090
O In Se Zn
24 4 8 2
Cartesian
6.568 2.290 8.182
6.861 12.910 7.973
1.615 4.167 5.814
3.147 4.790 3.602
2.191 1.778 3.270
2.960 6.503 5.425
2.237 1.463 8.796
7.119 7.394 10.580
4.900 7.550 3.369
6.075 10.302 7.926
6.245 8.111 5.699
8.652 8.017 8.368
10.291 8.783 10.869
-0.024 3.401 3.313
3.698 9.894 6.000
5.366 4.634 10.813
8.075 10.406 10.912
4.022 4.073 8.483
3.406 -0.726 6.208
8.030 10.721 5.386
4.191 1.882 6.256
7.306 5.681 8.757
10.226 10.576 12.615
0.041 1.607 1.567
4.323 1.953 8.377
10.472 7.270 9.175
5.944 10.231 5.805
-0.205 4.914 5.007
6.341 7.161 4.272
7.105 7.387 8.809
3.162 4.797 5.373
5.901 11.767 8.825
3.926 5.022 9.910
0.476 1.707 3.253
4.366 0.417 5.356
9.790 10.477 10.929
0.000 0.000 0.000
2.732 6.973 3.458
```

Results
Formation energy from raw total energies in kJ/mol of formula units: -1987
Symmetry: P2_1/c, No. 14
ρ in g/cm³: 4.167

=====

(5)
In3SiO6 | GGA-PBE | relaxed

POSCAR file:
```
In3SiO6
1.0
5.621 0.000 0.000
0.000 6.883 0.090
0.000 -1.448 6.729
O In Si
12 6 2
Cartesian
3.955 0.357 5.291
0.737 -0.466 4.219
4.302 1.899 2.233
2.703 6.782 0.170
5.513 -1.348 6.649
1.492 3.536 4.587
3.547 5.901 2.600
0.737 1.217 6.332
4.302 3.682 4.470
1.492 1.753 2.349
3.547 4.217 0.487
1.145 5.078 1.528
2.784 2.081 0.624
5.594 0.144 2.168
2.784 5.290 4.651
5.594 3.353 6.195
0.140 3.466 2.813
2.950 1.969 4.006
5.577 -0.061 5.624
2.766 5.495 1.196
```

Results
Formation energy from raw total energies in kJ/mol of formula units: -1706
Symmetry: Cmc2_1, No. 36
ρ in g/cm³: 5.960

=====

(6)
In2SiO | GGA-PBE | relaxed

POSCAR file:
```
In2SiO
1.0
0.000 3.288 3.288
3.288 0.000 3.288
3.288 3.288 0.000
Si In O
1 2 1
Cartesian
3.288 3.288 3.288
4.932 4.932 4.932
1.644 1.644 1.644
0.000 0.000 0.000
```

Results
Formation energy from raw total energies in kJ/mol of formula units: 73
Excess energy over the best structure of this formula in the dataset in meV/atom: 557
Symmetry: Fm-3m, No. 225
ρ in g/cm³: 6.395